BeSbRu2: relaxed, GGA-PBE. Values from VASP.

Size of the total moment (Bohr magnetons per cell): 0.00
ΔE_f (raw) (meV/atom): -139
Polymorph energy (0 for the lowest one) (kJ/mol of formula units): 0.0
DOS at the Fermi energy (states/eV/atom): 0.383

Structure (Quantum ESPRESSO input):
```
&SYSTEM
  ibrav = 0, nat = 4, ntyp = 3
/
ATOMIC_SPECIES
Ru 101.07 Ru.upf
Sb 121.76 Sb.upf
Be 9.01 Be.upf
CELL_PARAMETERS angstrom
0.000 3.040 3.040
3.040 0.000 3.040
3.040 3.040 0.000
ATOMIC_POSITIONS crystal
Ru 0.750 0.750 0.750
Sb 0.500 0.500 0.500
Be 0.000 0.000 0.000
Ru 0.250 0.250 0.250
```



BeSbRu: relaxed, GGA-PBE. Values from VASP.

Size of the total moment (Bohr magnetons per cell): 0.00
ΔE_f (raw) (meV/atom): -19
Polymorph energy (0 for the lowest one) (kJ/mol of formula units): 0.0
DOS at the Fermi energy (states/eV/atom): 0.354

Structure (Quantum ESPRESSO input):
```
&SYSTEM
  ibrav = 0, nat = 3, ntyp = 3
/
ATOMIC_SPECIES
Ru 101.07 Ru.upf
Be 9.01 Be.upf
Sb 121.76 Sb.upf
CELL_PARAMETERS angstrom
-0.233 4.643 -0.290
-3.376 2.278 2.260
3.330 -3.164 0.770
ATOMIC_POSITIONS crystal
Ru 0.342 0.342 0.000
Be 0.988 0.988 0.000
Sb 0.670 0.670 0.000
```



BeSb2Ru2: relaxed, GGA-PBE. Values from VASP.

Size of the total moment (Bohr magnetons per cell): 0.00
ΔE_f (raw) (meV/atom): 454
Polymorph energy (0 for the lowest one) (kJ/mol of formula units): 0.0
DOS at the Fermi energy (states/eV/atom): 0.621

Structure (Quantum ESPRESSO input):
```
&SYSTEM
  ibrav = 0, nat = 10, ntyp = 3
/
ATOMIC_SPECIES
Sb 121.76 Sb.upf
Be 9.01 Be.upf
Ru 101.07 Ru.upf
CELL_PARAMETERS angstrom
7.572 0.000 0.000
0.000 7.572 0.000
0.000 0.000 3.091
ATOMIC_POSITIONS crystal
Sb 0.155 0.345 0.000
Be 0.000 0.000 0.000
Ru 0.642 0.858 0.500
Be 0.500 0.500 0.000
Sb 0.655 0.155 0.000
Ru 0.858 0.358 0.500
Ru 0.358 0.142 0.500
Ru 0.142 0.642 0.500
Sb 0.345 0.845 0.000
Sb 0.845 0.655 0.000
```



BeSb2Ru2: relaxed, GGA-PBE. Values from VASP.

Size of the total moment (Bohr magnetons per cell): 0.00
ΔE_f (raw) (meV/atom): 615
Polymorph energy (0 for the lowest one) (kJ/mol of formula units): 77.9
DOS at the Fermi energy (states/eV/atom): 0.362

Structure (Quantum ESPRESSO input):
```
&SYSTEM
  ibrav = 0, nat = 5, ntyp = 3
/
ATOMIC_SPECIES
Sb 121.76 Sb.upf
Ru 101.07 Ru.upf
Be 9.01 Be.upf
CELL_PARAMETERS angstrom
4.465 0.000 0.000
0.000 4.465 0.000
2.232 2.232 5.234
ATOMIC_POSITIONS crystal
Sb 0.370 0.370 0.261
Ru 0.250 0.750 0.500
Sb 0.630 0.630 0.739
Be 0.000 0.000 0.000
Ru 0.750 0.250 0.500
```